(1)
A relaxed structure of InTePb2S5. Source: Alexandria, functional PBE.

abc: 9.5360 9.5360 12.0308
angles: 90.00 90.00 154.09
Last column: nearest neighbours and their distance in Å.
Fractional positions:
In  0.0649  0.9351  0.5000  4 S 2.48-2.54
In  0.9351  0.0649  0.0000  4 S 2.48-2.54
Te  0.2742  0.7258  0.0818  3 S 2.41-2.56
Te  0.7258  0.2742  0.5818  3 S 2.41-2.56
Pb  0.3762  0.6238  0.7442  5 S 2.91-3.17
Pb  0.3843  0.6157  0.3492  3 S 2.83-3.07
Pb  0.6157  0.3843  0.8492  3 S 2.83-3.07
Pb  0.6238  0.3762  0.2442  5 S 2.91-3.17
S  0.0164  0.9836  0.8365  1 In 2.48
S  0.1460  0.8540  0.0531  1 Te 2.41
S  0.1786  0.8214  0.3880  1 In 2.51
S  0.2221  0.7779  0.6988  2 Te 2.56
S  0.4464  0.5536  0.1131  2 In 2.54
S  0.5536  0.4464  0.6131  2 In 2.54
S  0.7779  0.2221  0.1988  2 Te 2.56
S  0.8214  0.1786  0.8880  1 In 2.51
S  0.8540  0.1460  0.5531  1 Te 2.41
S  0.9836  0.0164  0.3365  1 In 2.48

Properties
Space group   Cmc2_1 (36)
Calculated volume   478.1 Å³/cell
Formation energy (no corrections)   -0.315 eV/atom
Total magnetic moment   0.00 Bohr magnetons per cell

(2)
A relaxed structure of TlIn3Pb2S8. Source: Alexandria, functional PBE.

abc: 8.7012 8.7012 8.7012
angles: 53.31 53.31 53.31
Last column: nearest neighbours and their distance in Å.
Fractional positions:
Tl  0.0000  0.0000  0.0000  3 S 2.48
In  0.0563  0.5653  0.5653  6 S 2.60-2.71
In  0.5653  0.0563  0.5653  6 S 2.60-2.71
In  0.5653  0.5653  0.0563  6 S 2.60-2.71
Pb  0.1955  0.1955  0.1955  3 S 2.76
Pb  0.5425  0.5425  0.5425  3 S 2.82
S  0.3009  0.3009  0.7851  2 In 2.69, 2 Pb 2.76-2.82
S  0.3009  0.7851  0.3009  2 In 2.69, 2 Pb 2.76-2.82
S  0.3378  0.3378  0.3378  3 In 2.63
S  0.3527  0.8052  0.8052  1 Tl 2.48, 2 In 2.71
S  0.7851  0.3009  0.3009  2 In 2.69, 2 Pb 2.76-2.82
S  0.7900  0.7900  0.7900  3 In 2.60
S  0.8052  0.3527  0.8052  1 Tl 2.48, 2 In 2.71
S  0.8052  0.8052  0.3527  1 Tl 2.48, 2 In 2.71

Properties
Space group   R3m (160)
Calculated volume   392.9 Å³/cell
Formation energy (no corrections)   -0.438 eV/atom
Total magnetic moment   0.00 Bohr magnetons per cell

(3)
A relaxed structure of TlInPb2S5. Source: Alexandria, functional PBE.

abc: 9.5164 9.5164 12.4685
angles: 90.00 90.00 155.92
Last column: nearest neighbours and their distance in Å.
Fractional positions:
Tl  0.2267  0.7733  0.5000  5 S 2.61-2.74
Tl  0.7733  0.2267  0.0000  5 S 2.61-2.74
In  0.4415  0.5585  0.9303  4 S 2.45-2.51
In  0.5585  0.4415  0.4303  4 S 2.45-2.51
Pb  0.1140  0.8860  0.1379  4 S 2.84-3.14
Pb  0.1136  0.8864  0.7645  5 S 2.87-3.12
Pb  0.8864  0.1136  0.2645  5 S 2.87-3.12
Pb  0.8860  0.1140  0.6379  4 S 2.84-3.14
S  0.0386  0.9614  0.5471  2 In 2.49
S  0.2824  0.7176  0.1492  2 Tl 2.73
S  0.3147  0.6853  0.8614  1 In 2.51, 2 Tl 2.74
S  0.3662  0.6338  0.4781  1 Tl 2.61, 2 Pb 2.84
S  0.4974  0.5026  0.2564  1 In 2.45
S  0.5026  0.4974  0.7564  1 In 2.45
S  0.6338  0.3662  0.9781  1 Tl 2.61, 2 Pb 2.84
S  0.6853  0.3147  0.3614  1 In 2.51, 2 Tl 2.74
S  0.7176  0.2824  0.6492  2 Tl 2.73
S  0.9614  0.0386  0.0471  2 In 2.49

Properties
Space group   Cmc2_1 (36)
Calculated volume   460.8 Å³/cell
Formation energy (no corrections)   -0.390 eV/atom
Total magnetic moment   0.00 Bohr magnetons per cell

(4)
A relaxed structure of TlInPb2S4. Source: Alexandria, functional PBE.

abc: 7.6720 7.6720 14.9843
angles: 90.00 90.00 148.64
Last column: nearest neighbours and their distance in Å.
Fractional positions:
Tl  0.1211  0.8789  0.7500  6 S 3.33-3.42
Tl  0.8789  0.1211  0.2500  6 S 3.33-3.42
In  0.1611  0.8389  0.2500  4 S 2.46-2.53
In  0.8389  0.1611  0.7500  4 S 2.46-2.53
Pb  0.3728  0.6272  0.5413  5 S 2.87-3.11
Pb  0.3728  0.6272  0.9587  5 S 2.87-3.11
Pb  0.6272  0.3728  0.0413  5 S 2.87-3.11
Pb  0.6272  0.3728  0.4587  5 S 2.87-3.11
S  0.0000  0.0000  0.0000  4 Pb 2.87
S  0.0000  0.0000  0.5000  4 Pb 2.87
S  0.2623  0.7377  0.1196  1 In 2.46
S  0.2623  0.7377  0.3804  1 In 2.46
S  0.4373  0.5627  0.7500  2 In 2.53
S  0.5627  0.4373  0.2500  2 In 2.53
S  0.7377  0.2623  0.6196  1 In 2.46
S  0.7377  0.2623  0.8804  1 In 2.46

Properties
Space group   Cmcm (63)
Calculated volume   459.0 Å³/cell
Formation energy (no corrections)   -0.466 eV/atom
Total magnetic moment   0.00 Bohr magnetons per cell

(5)
A relaxed structure of TmInPb2S5. Source: Alexandria, functional PBE.

abc: 9.0343 9.0343 13.0013
angles: 90.00 90.00 154.53
Last column: nearest neighbours and their distance in Å.
Fractional positions:
Tm  0.2067  0.7933  0.5000  6 S 2.66-2.83
Tm  0.7933  0.2067  0.0000  6 S 2.66-2.83
In  0.4529  0.5471  0.9136  4 S 2.42-2.56
In  0.5471  0.4529  0.4136  4 S 2.42-2.56
Pb  0.1257  0.8743  0.1407  3 S 2.81-2.86
Pb  0.1320  0.8680  0.7888  4 S 2.88-3.09
Pb  0.8680  0.1320  0.2888  4 S 2.88-3.09
Pb  0.8743  0.1257  0.6407  3 S 2.81-2.86
S  0.0476  0.9524  0.5292  2 In 2.50
S  0.2881  0.7119  0.1425  2 Tm 2.72, 1 Pb 2.86
S  0.3129  0.6871  0.8598  1 In 2.56, 2 Tm 2.72
S  0.3575  0.6425  0.4894  1 Tm 2.66, 2 Pb 2.81
S  0.4825  0.5175  0.2493  1 In 2.42
S  0.5175  0.4825  0.7493  1 In 2.42
S  0.6425  0.3575  0.9894  1 Tm 2.66, 2 Pb 2.81
S  0.6871  0.3129  0.3598  1 In 2.56, 2 Tm 2.72
S  0.7119  0.2881  0.6425  2 Tm 2.72, 1 Pb 2.86
S  0.9524  0.0476  0.0292  2 In 2.50

Properties
Space group   Cmc2_1 (36)
Calculated volume   456.3 Å³/cell
Formation energy (no corrections)   -0.957 eV/atom
Total magnetic moment   0.00 Bohr magnetons per cell

(6)
A relaxed structure of YIn4PbS8. Source: Alexandria, functional PBE.

abc: 8.1559 8.1559 8.1559
angles: 58.37 58.37 58.37
Last column: nearest neighbours and their distance in Å.
Fractional positions:
Y  0.0000  0.0000  0.0000  6 S 2.75-2.81
In  0.0002  0.0002  0.5024  6 S 2.63-2.73
In  0.0002  0.5024  0.0002  6 S 2.63-2.73
In  0.3733  0.3733  0.3733  4 S 2.64-2.76
In  0.5024  0.0002  0.0002  6 S 2.63-2.73
Pb  0.6290  0.6290  0.6290  4 S 2.75-2.85
S  0.2083  0.7608  0.7608  2 In 2.66, 1 Y 2.75, 1 Pb 2.75
S  0.2368  0.2368  0.2368  4 In 2.70-2.76
S  0.2454  0.2454  0.7775  3 In 2.64-2.73, 1 Y 2.81
S  0.2454  0.7775  0.2454  3 In 2.64-2.73, 1 Y 2.81
S  0.7608  0.2083  0.7608  2 In 2.66, 1 Y 2.75, 1 Pb 2.75
S  0.7608  0.7608  0.2083  2 In 2.66, 1 Y 2.75, 1 Pb 2.75
S  0.7698  0.7698  0.7698  3 In 2.63, 1 Pb 2.85
S  0.7775  0.2454  0.2454  3 In 2.64-2.73, 1 Y 2.81

Properties
Space group   R3m (160)
Calculated volume   369.3 Å³/cell
Formation energy (no corrections)   -0.749 eV/atom
Total magnetic moment   0.00 Bohr magnetons per cell

(7)
A relaxed structure of YIn2PbS4. Source: Alexandria, functional PBE.

abc: 7.2539 4.0165 7.3472
angles: 90.00 108.08 90.00
Last column: nearest neighbours and their distance in Å.
Fractional positions:
Y  0.0000  0.0000  0.0000  6 S 2.75-2.78
In  0.5000  0.0000  0.5000  6 S 3.13-3.14
In  0.5000  0.5000  0.0000  6 S 2.87-2.91
Pb  0.0000  0.5000  0.5000  6 S 3.02
S  0.2242  0.5000  0.2151  2 Y 2.75, 1 In 2.91, 1 Pb 3.02
S  0.2464  0.0000  0.7765  1 Y 2.78, 2 In 2.87, 2 Pb 3.02
S  0.7536  0.0000  0.2235  1 Y 2.78, 2 In 2.87, 2 Pb 3.02
S  0.7758  0.5000  0.7849  2 Y 2.75, 1 In 2.91, 1 Pb 3.02

Properties
Space group   P2/m (10)
Calculated volume   203.5 Å³/cell
Formation energy (no corrections)   -0.889 eV/atom
Total magnetic moment   0.00 Bohr magnetons per cell

(8)
A relaxed structure of YInPb2S5. Source: Alexandria, functional PBE.

abc: 9.1041 9.1041 12.9574
angles: 90.00 90.00 154.55
Last column: nearest neighbours and their distance in Å.
Fractional positions:
Y  0.2063  0.7937  0.5000  6 S 2.70-2.87
Y  0.7937  0.2063  0.0000  6 S 2.70-2.87
In  0.4541  0.5459  0.9156  4 S 2.42-2.57
In  0.5459  0.4541  0.4156  4 S 2.42-2.57
Pb  0.1272  0.8728  0.1437  3 S 2.82-2.86
Pb  0.1308  0.8692  0.7912  4 S 2.87-3.11
Pb  0.8692  0.1308  0.2912  4 S 2.87-3.11
Pb  0.8728  0.1272  0.6437  3 S 2.82-2.86
S  0.0462  0.9538  0.5307  2 In 2.50
S  0.2883  0.7117  0.1454  2 Y 2.75, 1 Pb 2.86
S  0.3158  0.6842  0.8571  1 In 2.57, 2 Y 2.76
S  0.3582  0.6418  0.4918  1 Y 2.70, 2 Pb 2.82
S  0.4813  0.5187  0.2510  1 In 2.42
S  0.5187  0.4813  0.7510  1 In 2.42
S  0.6418  0.3582  0.9918  1 Y 2.70, 2 Pb 2.82
S  0.6842  0.3158  0.3571  1 In 2.57, 2 Y 2.76
S  0.7117  0.2883  0.6454  2 Y 2.75, 1 Pb 2.86
S  0.9538  0.0462  0.0307  2 In 2.50

Properties
Space group   Cmc2_1 (36)
Calculated volume   461.5 Å³/cell
Formation energy (no corrections)   -0.956 eV/atom
Total magnetic moment   0.00 Bohr magnetons per cell